--- a ---
DFT (GGA-PBE) results for a relaxed BaAlBr2 crystal.

ρ	4060	kg/m³

a = 7.045 Å, b = 7.045 Å, c = 7.045 Å
α = 141.83°, β = 141.83°, γ = 55.08°
Fractional positions:
Ba 0.000 0.000 0.000
Al 0.750 0.250 0.500
Br 0.250 0.750 0.500
Br 0.500 0.500 0.000

--- b ---
DFT (GGA-PBE) results for a relaxed BaAlBr2 crystal.

ρ	3505	kg/m³

a = 5.900 Å, b = 5.900 Å, c = 5.324 Å
α = 110.31°, β = 110.31°, γ = 100.05°
Fractional positions:
Ba 0.000 0.000 0.000
Al 0.500 0.500 0.000
Br 0.000 0.500 0.500
Br 0.500 0.000 0.500

Most stable structure: a

--- a ---
DFT (GGA-PBE) results for a relaxed BaAlBr2 crystal.

ρ	2746	kg/m³

a = 10.560 Å, b = 10.560 Å, c = 10.560 Å
α = 25.77°, β = 25.77°, γ = 25.77°
Fractional positions:
Ba 0.000 0.000 0.000
Al 0.500 0.500 0.500
Br 0.277 0.277 0.277
Br 0.723 0.723 0.723

--- b ---
DFT (GGA-PBE) results for a relaxed BaAlBr2 crystal.

ρ	3735	kg/m³

a = 7.090 Å, b = 7.090 Å, c = 7.090 Å
α = 41.96°, β = 41.96°, γ = 41.96°
Fractional positions:
Ba 0.000 0.000 0.000
Al 0.189 0.189 0.189
Br 0.558 0.558 0.558
Br 0.747 0.747 0.747

Most stable structure: b

--- a ---
DFT (GGA-PBE) results for a relaxed BaAlBr crystal.

ρ	3622	kg/m³

a = 6.362 Å, b = 6.362 Å, c = 6.362 Å
α = 138.55°, β = 138.40°, γ = 60.17°
Fractional positions:
Ba 0.000 0.000 0.000
Al 0.345 0.345 0.000
Br 0.598 0.598 0.000

--- b ---
DFT (GGA-PBE) results for a relaxed BaAlBr crystal.

ρ	3116	kg/m³

a = 4.379 Å, b = 4.379 Å, c = 7.836 Å
α = 90.00°, β = 90.00°, γ = 120.00°
Fractional positions:
Ba 0.000 0.000 0.000
Al 0.333 0.667 0.689
Br 0.667 0.333 0.252

Most stable structure: a

--- a ---
DFT (GGA-PBE) results for a relaxed BaAlBr crystal.

ρ	3137	kg/m³

a = 5.676 Å, b = 5.676 Å, c = 5.676 Å
α = 60.00°, β = 60.00°, γ = 60.00°
Fractional positions:
Ba 0.000 0.000 0.000
Al 0.250 0.250 0.250
Br 0.750 0.750 0.750

--- b ---
DFT (GGA-PBE) results for a relaxed BaAlBr crystal.

ρ	3630	kg/m³

a = 5.406 Å, b = 5.406 Å, c = 5.406 Å
α = 60.00°, β = 60.00°, γ = 60.00°
Fractional positions:
Ba 0.000 0.000 0.000
Al 0.500 0.500 0.500
Br 0.750 0.750 0.750

Most stable structure: b